{
  "formula": "LaCd9Ag2",
  "functional": "PBE-GGA",
  "state": "relaxed",
  "delta_e_f_ev_per_fu": -1.461,
  "polymorph_energy_ev_per_atom": 0.053,
  "cell": [[9.6778, 0.0000, 0.0000], [-4.8389, 8.3812, 0.0000], [0.0000, 0.0000, 3.3483]],
  "species": ["La", "Cd", "Cd", "Cd", "Cd", "Cd", "Cd", "Cd", "Cd", "Cd", "Ag", "Ag"],
  "frac_coords": [[0.0000, 0.0000, 0.0000], [0.0000, 0.5000, 0.0000], [0.1831, 0.3662, 0.5000], [0.1831, 0.8169, 0.5000], [0.3662, 0.1831, 0.5000], [0.5000, 0.0000, 0.0000], [0.5000, 0.5000, 0.0000], [0.6338, 0.8169, 0.5000], [0.8169, 0.1831, 0.5000], [0.8169, 0.6338, 0.5000], [0.3333, 0.6667, 0.0000], [0.6667, 0.3333, 0.0000]]
}


{
  "formula": "La4CdAg",
  "functional": "PBE-GGA",
  "state": "relaxed",
  "delta_e_f_ev_per_fu": -0.852,
  "polymorph_energy_ev_per_atom": 0.040,
  "cell": [[4.5614, -7.1982, 0.0000], [4.5614, 7.1982, 0.0000], [-2.0884, 0.0000, 5.7632]],
  "species": ["La", "La", "La", "La", "La", "La", "La", "La", "Cd", "Cd", "Ag", "Ag"],
  "frac_coords": [[0.0868, 0.6955, 0.9338], [0.2070, 0.3850, 0.6432], [0.3045, 0.9132, 0.5662], [0.3850, 0.2070, 0.1432], [0.6150, 0.7930, 0.8568], [0.6955, 0.0868, 0.4338], [0.7930, 0.6150, 0.3568], [0.9132, 0.3045, 0.0662], [0.3892, 0.6108, 0.2500], [0.6108, 0.3892, 0.7500], [0.0032, 0.9968, 0.2500], [0.9968, 0.0032, 0.7500]]
}